# SrZnCu

A relaxed SrZnCu crystal (PBE, Alexandria).

Unit cell a=4.233 b=4.315 c=9.896 alpha=85.76 beta=87.21 gamma=62.07
Space group P-1 (No. 2)
Inequivalent atoms, fractional coordinates:
1 Sr 0.170 0.164 0.195
2 Zn 0.170 0.181 0.558
3 Cu 0.497 0.473 0.382

formation energy from the elements	-0.24	eV per formula unit
size of the total moment	0.0000	μB/atom
DOS at the Fermi energy	2.9	states/eV per cell
calculated total energy	-2.4315	eV per atom

=====

# TiBMo

A relaxed TiBMo crystal (PBE, Alexandria).

Unit cell a=3.207 b=14.847 c=3.094 alpha=90.00 beta=90.00 gamma=90.00
Space group Cmcm (No. 63)
Inequivalent atoms, fractional coordinates:
1 Ti 0.000 0.086 0.250
2 B 0.000 0.468 0.250
3 Mo 0.000 0.300 0.250

formation energy from the elements	-1.82	eV per formula unit
size of the total moment	0.0000	μB/atom
DOS at the Fermi energy	4.3	states/eV per cell
calculated total energy	-9.0751	eV per atom